[1]
DFT (meta-GGA SCAN) results for Fe4Si3 at its PBEsol-relaxed geometry.

Structure (extended XYZ):
```
7
Lattice="4.328 0.000 0.000 0.000 4.601 0.000 0.000 -2.300 3.984" Properties=species:S:1:pos:R:3 pbc="T T T"
Si 0.000 -1.150 1.992
Fe 3.235 0.000 0.000
Fe 2.164 2.300 1.328
Fe 1.093 0.000 0.000
Si 0.000 1.150 1.992
Si 0.000 2.300 0.000
Fe 2.164 0.000 2.656
```

The calculation puts the raw formation energy at 0.130 eV/atom.

***

[2]
DFT (meta-GGA SCAN) results for Mg3NbTl at its PBEsol-relaxed geometry.

Structure (extended XYZ):
```
5
Lattice="5.429 0.000 0.000 0.000 5.429 0.000 0.000 0.000 5.429" Properties=species:S:1:pos:R:3 pbc="T T T"
Nb 0.000 0.000 0.000
Mg 0.000 2.715 0.000
Mg 2.715 0.000 0.000
Tl 2.715 2.715 2.715
Mg 0.000 0.000 2.715
```

The energy of formation from the pure elements comes out at 0.979 eV/atom.

***

[3]
DFT (meta-GGA SCAN) results for CaLaAg at its PBEsol-relaxed geometry.

Structure (extended XYZ):
```
3
Lattice="3.649 0.000 0.000 0.000 3.649 0.000 -1.825 -1.825 6.671" Properties=species:S:1:pos:R:3 pbc="T T T"
La 0.000 0.000 4.820
Ag 0.000 0.000 0.032
Ca 1.825 1.825 1.819
```

The energy of formation from the pure elements comes out at -0.183 eV/atom.

***

no.,VASP energy (eV/atom)
1,-14.522
2,-23.103
3,-28.228